A geometry-optimized LuRe2 structure. Source: the Open Quantum Materials Database, functional PBE.

a b c (Å): 5.3598 5.3598 8.7218
angles (deg): 90.00 90.00 120.00
Space group P6_3/mmc (No. 194)
Asymmetric unit:
Lu1 0.3333 0.6667 0.0618 x4
Re1 0.0000 0.0000 0.0000 x2
Re2 0.1716 0.3433 0.7500 x6

E = -10.100 eV/atom
spin magnetization = 0.002 Bohr magnetons per cell

=====

A geometry-optimized Dy2HoMg3Ir2Pt structure. Source: the Open Quantum Materials Database, functional PBE.

a b c (Å): 4.035 12.659 7.309
angles (deg): 90.00 90.00 90.00
Space group Amm2 (No. 38)
Asymmetric unit:
Dy1 0.000 0.207 0.000 x4
Ho1 0.000 0.000 0.620 x2
Mg1 0.500 0.000 0.959 x2
Mg2 0.500 0.124 0.330 x4
Ir1 0.500 0.167 0.707 x4
Pt1 0.000 0.000 0.207 x2

E = -5.478 eV/atom
spin magnetization = 0.013 Bohr magnetons per cell

=====

A geometry-optimized NaHfBPd structure. Source: the Open Quantum Materials Database, functional PBE.

a b c (Å): 6.308 6.308 6.308
angles (deg): 90.00 90.00 90.00
Space group F-43m (No. 216)
Asymmetric unit:
Na1 0.000 0.000 0.000 x4
Hf1 0.000 0.000 0.500 x4
B1 0.250 0.250 0.750 x4
Pd1 0.250 0.250 0.250 x4

E = -5.482 eV/atom
spin magnetization = 0.001 Bohr magnetons per cell

=====

A geometry-optimized La2PrSi4Pd2Au2 structure. Source: the Open Quantum Materials Database, functional PBE.

a b c (Å): 4.301 4.302 25.118
angles (deg): 90.00 90.00 90.00
Space group Immm (No. 71)
Asymmetric unit:
La1 0.000 0.000 0.146 x4
Pr1 0.000 0.500 0.500 x2
Si1 0.000 0.000 0.309 x4
Si2 0.000 0.500 0.048 x4
Pd1 0.000 0.000 0.406 x4
Au1 0.000 0.500 0.251 x4

E = -5.662 eV/atom
spin magnetization = 0.065 Bohr magnetons per cell